{
  "formula": "Li3Rh",
  "functional": "SCAN",
  "state": "single point on PBEsol structure",
  "cell": [[1.3557, 0.7827, 9.3530], [-1.3557, 0.7827, 9.3530], [0.0000, -1.5655, 9.3530]],
  "species": ["Li", "Li", "Li", "Rh"],
  "frac_coords": [[0.0000, 0.0000, 0.0000], [0.2397, 0.2397, 0.2397], [0.7603, 0.7603, 0.7603], [0.5000, 0.5000, 0.5000]],
  "m_tot_mub_per_fu": 0.3,
  "density_g_cm3": 3.450,
  "dft_energy_ev_per_atom": -10.3148
}